# Pm4NdY6 PBE optimized geometry
# - ΔE to the lowest computed polymorph (meV per atom) = 0
# - total magnetic moment (μB/f.u.) = 0.000
# - E_form (kJ per mole of atoms) = 10.4
# - density of states at the Fermi level (states/eV per atom) = 1.8522
data_Pm4NdY6
_chemical_formula_sum 'Pm8 Nd2 Y12'
_cell_length_a 5.810
_cell_length_b 5.670
_cell_length_c 26.079
_cell_angle_alpha 90.00
_cell_angle_beta 90.00
_cell_angle_gamma 120.82
_symmetry_space_group_name_H-M 'P 1'
_symmetry_Int_Tables_number 1
_symmetry_space_group_name_Hall 'P 1'
loop_
_atom_site_label
_atom_site_type_symbol
_atom_site_fract_x
_atom_site_fract_y
_atom_site_fract_z
Pm1 Pm 0.843 0.686 0.543
Pm2 Pm 0.470 0.940 0.122
Pm3 Pm 0.157 0.314 0.457
Pm4 Pm 0.530 0.060 0.878
Pm5 Pm 0.843 0.686 0.957
Pm6 Pm 0.157 0.314 0.043
Pm7 Pm 0.530 0.060 0.622
Pm8 Pm 0.470 0.940 0.378
Nd1 Nd 0.816 0.633 0.250
Nd2 Nd 0.184 0.367 0.750
Y1 Y 0.500 0.000 0.000
Y2 Y 0.500 0.000 0.500
Y3 Y 0.144 0.288 0.318
Y4 Y 0.856 0.712 0.682
Y5 Y 0.856 0.712 0.818
Y6 Y 0.144 0.288 0.182
Y7 Y 0.811 0.622 0.397
Y8 Y 0.189 0.378 0.603
Y9 Y 0.189 0.378 0.897
Y10 Y 0.811 0.622 0.103
Y11 Y 0.482 0.963 0.250
Y12 Y 0.518 0.037 0.750